1.
Compound: LaY2Ga2
Source: Alexandria
Functional: GGA-PBE
Structure: relaxed

## Properties
Distance to the lowest polymorph of the same formula ... 0 meV per atom
Crystal system ... monoclinic
Total moment ... 0.0 μB per cell
Calculated total energy ... -5.178 eV per atom
ΔE_f ... -396.2 meV/atom

Cell lengths 5.4645, 4.4525, 11.6007 Å; angles 90.00, 93.93, 90.00 degrees
Space group P2_1/m (No. 11)
Unique sites:
La: 0.1705 0.2500 0.2399 (multiplicity 2)
Y: 0.2464 0.7500 0.4789 (multiplicity 2)
Y: 0.3564 0.2500 0.8884 (multiplicity 2)
Ga: 0.1371 0.7500 0.0258 (multiplicity 2)
Ga: 0.2682 0.2500 0.6418 (multiplicity 2)



2.
Compound: TlRh3
Source: Alexandria
Functional: GGA-PBE
Structure: relaxed

## Properties
Crystal system ... orthorhombic
Total moment ... 0.0 μB per cell
Calculated total energy ... -5.896 eV per atom
ΔE_f ... 209.0 meV/atom

Cell lengths 2.9032, 4.5799, 4.8554 Å; angles 90.00, 90.00, 90.00 degrees
Space group Pmm2 (No. 25)
Unique sites:
Tl: 0.0000 0.0000 0.0000 (multiplicity 1)
Rh: 0.0000 0.5000 0.6460 (multiplicity 1)
Rh: 0.5000 0.0000 0.5023 (multiplicity 1)
Rh: 0.5000 0.5000 0.1762 (multiplicity 1)



3.
Compound: La2Y
Source: Alexandria
Functional: GGA-PBE
Structure: relaxed

## Properties
Distance to the lowest polymorph of the same formula ... 146 meV per atom
Crystal system ... orthorhombic
Total moment ... 0.0 μB per cell
Calculated total energy ... -5.279 eV per atom
ΔE_f ... 161.1 meV/atom

Cell lengths 3.5136, 5.8787, 10.4272 Å; angles 90.00, 90.00, 90.00 degrees
Space group Immm (No. 71)
Unique sites:
La: 0.0000 0.0000 0.1850 (multiplicity 4)
Y: 0.0000 0.5000 0.0000 (multiplicity 2)



4.
Compound: CoP2
Source: Alexandria
Functional: GGA-PBE
Structure: relaxed

## Properties
Crystal system ... orthorhombic
Total moment ... 0.0 μB per cell
Calculated total energy ... -6.183 eV per atom
ΔE_f ... -208.2 meV/atom

Cell lengths 3.0472, 4.8328, 5.8421 Å; angles 90.00, 90.00, 90.00 degrees
Space group Imm2 (No. 44)
Unique sites:
Co: 0.0000 0.0000 0.0000 (multiplicity 2)
P: 0.0000 0.2214 0.6533 (multiplicity 4)



5.
Compound: PmYInHg
Source: Alexandria
Functional: GGA-PBE
Structure: relaxed

## Properties
Crystal system ... cubic
Total moment ... 1.6 μB per cell
Calculated total energy ... -4.051 eV per atom
ΔE_f ... -487.2 meV/atom

Cell lengths 7.5992, 7.5992, 7.5992 Å; angles 90.00, 90.00, 90.00 degrees
Space group F-43m (No. 216)
Unique sites:
Pm: 0.0000 0.0000 0.0000 (multiplicity 4)
Y: 0.0000 0.0000 0.5000 (multiplicity 4)
In: 0.2500 0.2500 0.2500 (multiplicity 4)
Hg: 0.2500 0.2500 0.7500 (multiplicity 4)



6.
Compound: Tb5PuRu3
Source: Alexandria
Functional: GGA-PBE
Structure: relaxed

## Properties
Crystal system ... monoclinic
Total moment ... 20.4 μB per cell
Calculated total energy ... -7.408 eV per atom
ΔE_f ... -150.8 meV/atom

Cell lengths 12.1407, 8.9710, 9.7017 Å; angles 90.00, 108.74, 90.00 degrees
Space group C2/m (No. 12)
Unique sites:
Tb: 0.0000 0.1950 0.0000 (multiplicity 4)
Tb: 0.0322 0.0000 0.3464 (multiplicity 4)
Tb: 0.1882 0.3052 0.6438 (multiplicity 8)
Tb: 0.2382 0.5000 0.0528 (multiplicity 4)
Pu: 0.0684 0.5000 0.2804 (multiplicity 4)
Ru: 0.0000 0.5000 0.0000 (multiplicity 2)
Ru: 0.0000 0.5000 0.5000 (multiplicity 2)
Ru: 0.1624 0.0000 0.1641 (multiplicity 4)
Ru: 0.2076 0.0000 0.6140 (multiplicity 4)



7.
Compound: Tl2CdTe4As
Source: Alexandria
Functional: GGA-PBE
Structure: relaxed

## Properties
Crystal system ... orthorhombic
Total moment ... 0.0 μB per cell
Formation energy without anion corrections ... -0.180 eV per atom
Calculated total energy ... -3.038 eV per atom

Cell lengths 8.7731, 8.9555, 12.5996 Å; angles 90.00, 90.00, 90.00 degrees
Space group Imma (No. 74)
Unique sites:
Tl: 0.0000 0.0000 0.0000 (multiplicity 4)
Tl: 0.2500 0.2500 0.2500 (multiplicity 4)
Cd: 0.0000 0.0000 0.5000 (multiplicity 4)
Te: 0.0000 0.0288 0.7431 (multiplicity 8)
Te: 0.2342 0.2500 0.5151 (multiplicity 8)
As: 0.2500 0.2500 0.7500 (multiplicity 4)



8.
Compound: Pr2PaSb
Source: Alexandria
Functional: GGA-PBE
Structure: relaxed

## Properties
Distance to the lowest polymorph of the same formula ... 29 meV per atom
Crystal system ... tetragonal
Total moment ... 0.0 μB per cell
Formation energy without anion corrections ... -0.253 eV per atom
Calculated total energy ... -6.047 eV per atom

Cell lengths 4.0027, 4.0027, 7.4133 Å; angles 90.00, 90.00, 90.00 degrees
Space group P4/mmm (No. 123)
Unique sites:
Pr: 0.0000 0.0000 0.2292 (multiplicity 2)
Pa: 0.5000 0.5000 0.5000 (multiplicity 1)
Sb: 0.5000 0.5000 0.0000 (multiplicity 1)



9.
Compound: CeDy4Sb5
Source: Alexandria
Functional: GGA-PBE
Structure: relaxed

## Properties
Crystal system ... orthorhombic
Total moment ... 1.4 μB per cell
Formation energy without anion corrections ... -1.115 eV per atom
Calculated total energy ... -5.610 eV per atom

Cell lengths 4.4080, 6.2318, 22.0280 Å; angles 90.00, 90.00, 90.00 degrees
Space group Immm (No. 71)
Unique sites:
Ce: 0.0000 0.0000 0.0000 (multiplicity 2)
Dy: 0.0000 0.0000 0.2020 (multiplicity 4)
Dy: 0.0000 0.0000 0.3991 (multiplicity 4)
Sb: 0.0000 0.5000 0.0000 (multiplicity 2)
Sb: 0.0000 0.5000 0.1997 (multiplicity 4)
Sb: 0.0000 0.5000 0.3980 (multiplicity 4)



10.
Compound: KC3
Source: Alexandria
Functional: GGA-PBE
Structure: relaxed

## Properties
Distance to the lowest polymorph of the same formula ... 1593 meV per atom
Crystal system ... tetragonal
Total moment ... 0.0 μB per cell
Calculated total energy ... -5.029 eV per atom
ΔE_f ... 2163.6 meV/atom

Cell lengths 2.8808, 2.8808, 23.8888 Å; angles 90.00, 90.00, 90.00 degrees
Space group I4/mmm (No. 139)
Unique sites:
K: 0.0000 0.0000 0.1002 (multiplicity 4)
C: 0.0000 0.0000 0.2186 (multiplicity 4)
C: 0.0000 0.5000 0.0000 (multiplicity 4)
C: 0.0000 0.5000 0.2500 (multiplicity 4)



11.
Compound: Rb2TmPuSe4
Source: Alexandria
Functional: GGA-PBE
Structure: relaxed

## Properties
Crystal system ... monoclinic
Total moment ... 5.0 μB per cell
Formation energy without anion corrections ... -1.571 eV per atom
Calculated total energy ... -5.905 eV per atom

Cell lengths 7.3976, 4.2574, 8.3350 Å; angles 90.00, 107.15, 90.00 degrees
Space group P2/m (No. 10)
Unique sites:
Rb: 0.0000 0.0000 0.0000 (multiplicity 1)
Rb: 0.5000 0.5000 0.0000 (multiplicity 1)
Tm: 0.0000 0.5000 0.5000 (multiplicity 1)
Pu: 0.5000 0.0000 0.5000 (multiplicity 1)
Se: 0.2243 0.0000 0.6940 (multiplicity 2)
Se: 0.2627 0.5000 0.3060 (multiplicity 2)



12.
Compound: BaMg3B
Source: Alexandria
Functional: GGA-PBE
Structure: relaxed

## Properties
Distance to the lowest polymorph of the same formula ... 1659 meV per atom
Crystal system ... cubic
Total moment ... 2.6 μB per cell
Calculated total energy ... -0.694 eV per atom
ΔE_f ... 1983.2 meV/atom

Cell lengths 6.8049, 6.8049, 6.8049 Å; angles 90.00, 90.00, 90.00 degrees
Space group Pm-3m (No. 221)
Unique sites:
Ba: 0.0000 0.0000 0.0000 (multiplicity 1)
Mg: 0.0000 0.0000 0.5000 (multiplicity 3)
B: 0.5000 0.5000 0.5000 (multiplicity 1)